This record from Alexandria via LeMat-Bulk describes an optimized crystal structure of CuMoOs4. The functional is GGA-PBE.

Computed properties:
Uncorrected energy in eV/cell: -224.8
ΔE_f in eV/atom: 0.6096

Cell: 7.2134 7.2134 7.2134 Å, 90.00 90.00 90.00°
Closest atoms and distances in Å follow each position.
Space group F-43m (No. 216)
One atom of each set of equivalent atoms:
Cu (0.0000, 0.0000, 0.0000) (multiplicity 4)  12 Os 2.99, 4 Mo 3.12
Mo (0.2500, 0.2500, 0.7500) (multiplicity 4)  12 Os 2.99, 4 Cu 3.12
Os (0.1254, 0.1254, 0.3746) (multiplicity 16)  6 Os 2.54-2.56

This record from Alexandria via LeMat-Bulk describes an optimized crystal structure of YNiHgAu. The functional is GGA-PBE.

Computed properties:
Uncorrected energy in eV/cell: -68.8
ΔE_f in eV/atom: -0.3455

Cell: 6.7950 6.7950 6.7950 Å, 90.00 90.00 90.00°
Closest atoms and distances in Å follow each position.
Space group F-43m (No. 216)
One atom of each set of equivalent atoms:
Y (0.0000, 0.0000, 0.0000) (multiplicity 4)  4 Ni 2.94, 4 Au 2.94
Ni (0.2500, 0.2500, 0.2500) (multiplicity 4)  4 Hg 2.94, 4 Y 2.94
Hg (0.0000, 0.0000, 0.5000) (multiplicity 4)  4 Ni 2.94, 4 Au 2.94
Au (0.2500, 0.2500, 0.7500) (multiplicity 4)  4 Hg 2.94, 4 Y 2.94

This record from Alexandria via LeMat-Bulk describes an optimized crystal structure of Pr8MgSn2. The functional is GGA-PBE.

Computed properties:
Uncorrected energy in eV/cell: -101.3
ΔE_f in eV/atom: -0.2540

Cell: 19.8698 5.3698 7.1098 Å, 90.00 106.24 90.00°
Closest atoms and distances in Å follow each position.
Space group C2/m (No. 12)
One atom of each set of equivalent atoms:
Pr (0.0147, 0.0000, 0.2663) (multiplicity 4)  2 Mg 3.21, 1 Sn 3.30, 3 Pr 3.53-3.58
Pr (0.0933, 0.5000, 0.9834) (multiplicity 4)  1 Mg 3.42, 2 Sn 3.43, 5 Pr 3.46-3.80
Pr (0.1592, 0.5000, 0.4883) (multiplicity 4)  1 Mg 3.19, 3 Sn 3.25-3.27, 3 Pr 3.46-3.50
Pr (0.2083, 0.0000, 0.8134) (multiplicity 4)  3 Sn 3.28-3.60, 2 Pr 3.50
Mg (0.0000, 0.5000, 0.5000) (multiplicity 2)  8 Pr 3.19-3.42
Sn (0.1786, 0.0000, 0.2449) (multiplicity 4)  9 Pr 3.25-3.60